This record from the Alexandria database describes La3Sm2Ho3 after structural relaxation. The functional is PBE.

The structure in CIF format:
```
data_La3Sm2Ho3
_chemical_formula_sum 'La6 Sm4 Ho6'
_cell_length_a 16.351
_cell_length_b 5.965
_cell_length_c 6.000
_cell_angle_alpha 90.00
_cell_angle_beta 111.53
_cell_angle_gamma 90.00
_symmetry_space_group_name_H-M 'C 1 2/m 1'
_symmetry_Int_Tables_number 12
loop_
_symmetry_equiv_pos_as_xyz
'x,y,z'
'-x,-y,-z'
'-x,y,-z'
'x,-y,z'
'x+1/2,y+1/2,z'
'-x+1/2,-y+1/2,-z'
'-x+1/2,y+1/2,-z'
'x+1/2,-y+1/2,z'
loop_
_atom_site_label
_atom_site_fract_x
_atom_site_fract_y
_atom_site_fract_z
La1 0.000 0.000 0.000
La2 0.148 0.000 0.648
Sm1 0.247 0.500 0.748
Ho1 0.000 0.500 0.500
Ho2 0.121 0.500 0.122
```


This record from the Alexandria database describes Ce3Mg7Au4 after structural relaxation. The functional is PBE.

The structure in CIF format:
```
data_Ce3Mg7Au4
_chemical_formula_sum 'Ce6 Mg14 Au8'
_cell_length_a 16.675
_cell_length_b 4.484
_cell_length_c 10.444
_cell_angle_alpha 90.00
_cell_angle_beta 123.85
_cell_angle_gamma 90.00
_symmetry_space_group_name_H-M 'C 1 2/m 1'
_symmetry_Int_Tables_number 12
loop_
_symmetry_equiv_pos_as_xyz
'x,y,z'
'-x,-y,-z'
'-x,y,-z'
'x,-y,z'
'x+1/2,y+1/2,z'
'-x+1/2,-y+1/2,-z'
'-x+1/2,y+1/2,-z'
'x+1/2,-y+1/2,z'
loop_
_atom_site_label
_atom_site_fract_x
_atom_site_fract_y
_atom_site_fract_z
Ce1 0.000 0.000 0.000
Ce2 0.196 0.500 0.707
Mg1 0.000 0.000 0.500
Mg2 0.011 0.500 0.302
Mg3 0.164 0.000 0.431
Mg4 0.178 0.500 0.015
Au1 0.116 0.000 0.828
Au2 0.160 0.500 0.263
```


This record from the Alexandria database describes BaPmPr2 after structural relaxation. The functional is PBE.

The structure in CIF format:
```
data_BaPmPr2
_chemical_formula_sum 'Ba1 Pm1 Pr2'
_cell_length_a 5.391
_cell_length_b 5.391
_cell_length_c 5.427
_cell_angle_alpha 90.00
_cell_angle_beta 90.00
_cell_angle_gamma 90.00
_symmetry_space_group_name_H-M 'P 4/m m m'
_symmetry_Int_Tables_number 123
_symmetry_space_group_name_Hall '-P 4 2'
loop_
_atom_site_label
_atom_site_fract_x
_atom_site_fract_y
_atom_site_fract_z
Ba1 0.000 0.000 0.000
Pm1 0.500 0.500 0.000
Pr1 0.000 0.500 0.500
```


This record from the Alexandria database describes Nd2NpScP4 after structural relaxation. The functional is PBE.

The structure in CIF format:
```
data_Nd2NpScP4
_chemical_formula_sum 'Nd2 Np1 Sc1 P4'
_cell_length_a 6.919
_cell_length_b 4.011
_cell_length_c 6.963
_cell_angle_alpha 90.00
_cell_angle_beta 109.27
_cell_angle_gamma 90.00
_symmetry_space_group_name_H-M 'P 1 2/m 1'
_symmetry_Int_Tables_number 10
loop_
_symmetry_equiv_pos_as_xyz
'x,y,z'
'-x,-y,-z'
'-x,y,-z'
'x,-y,z'
loop_
_atom_site_label
_atom_site_fract_x
_atom_site_fract_y
_atom_site_fract_z
Nd1 0.000 0.000 0.000
Nd2 0.500 0.500 0.000
Np1 0.000 0.500 0.500
Sc1 0.500 0.000 0.500
P1 0.247 0.000 0.729
P2 0.260 0.500 0.273
```


Values for formation enthalpy at 0 K, eV per atom, ordered as above
0.119, -0.439, 0.181, -1.327
Values for N(E_F), states/eV/cell, ordered as above
28.5, 54.8, 7.2, 10.1